No. 1
Material: Pm2As3PPd4
Method: DFT, PBE
State: optimized geometry

Cell and atoms, written as extended XYZ:
```
10
Lattice="4.409 0.000 0.000 0.000 4.409 0.000 0.000 0.000 9.794" Properties=species:S:1:pos:R:3 pbc="T T T"
Pm 0.000 2.205 2.386
Pm 2.205 0.000 7.408
As 0.000 0.000 0.000
As 0.000 2.205 6.210
As 2.205 0.000 3.584
P 2.205 2.205 0.000
Pd 0.000 0.000 4.897
Pd 0.000 2.205 8.681
Pd 2.205 0.000 1.113
Pd 2.205 2.205 4.897
```

E   -5.83 eV per atom
Space-group type   P-4m2, No. 115
Crystal system   tetragonal
Formation energy from the elements   -871 meV per atom


No. 2
Material: Pm2AsPPd6
Method: DFT, PBE
State: optimized geometry

Cell and atoms, written as extended XYZ:
```
20
Lattice="5.551 0.000 0.000 0.000 8.780 0.000 0.000 0.000 8.050" Properties=species:S:1:pos:R:3 pbc="T T T"
Pm 1.388 0.067 1.907
Pm 1.388 4.323 1.907
Pm 4.163 4.457 6.144
Pm 4.163 8.713 6.144
As 1.388 6.585 6.220
As 4.163 2.195 1.831
P 1.388 2.195 5.987
P 4.163 6.585 2.064
Pd 0.005 6.585 4.019
Pd 0.016 2.195 7.864
Pd 1.388 0.011 5.020
Pd 1.388 4.379 5.020
Pd 2.760 2.195 7.864
Pd 2.771 6.585 4.019
Pd 2.781 2.195 4.031
Pd 2.792 6.585 0.186
Pd 4.163 4.400 3.030
Pd 4.163 8.769 3.030
Pd 5.535 6.585 0.186
Pd 5.546 2.195 4.031
```

E   -5.84 eV per atom
Space-group type   Pmmn, No. 59
Crystal system   orthorhombic
Formation energy from the elements   -770 meV per atom


No. 3
Material: PmAs2P2Pd7
Method: DFT, PBE
State: optimized geometry

Cell and atoms, written as extended XYZ:
```
12
Lattice="3.110 -3.516 0.000 3.110 3.516 0.000 -2.279 0.000 10.223" Properties=species:S:1:pos:R:3 pbc="T T T"
Pm 0.000 0.000 0.000
As 0.044 0.000 3.400
As 3.897 0.000 6.823
P 1.343 0.000 7.835
P 2.597 0.000 2.387
Pd 1.424 2.030 2.042
Pd 0.044 0.000 5.850
Pd 2.516 2.030 8.181
Pd 3.110 0.000 0.000
Pd 1.424 -2.030 2.042
Pd 3.896 0.000 4.373
Pd 2.516 -2.030 8.181
```

E   -5.53 eV per atom
Space-group type   C2/m, No. 12
Crystal system   monoclinic
Formation energy from the elements   -425 meV per atom


No. 4
Material: PrAs2P2Pd7
Method: DFT, PBE
State: optimized geometry

Cell and atoms, written as extended XYZ:
```
12
Lattice="3.327 -3.379 0.000 3.327 3.379 0.000 -0.057 0.000 9.649" Properties=species:S:1:pos:R:3 pbc="T T T"
Pr 0.000 0.000 0.000
As 0.408 0.000 6.236
As 6.190 0.000 3.413
P 2.198 0.000 2.000
P 4.399 0.000 7.649
Pd 2.447 1.380 7.129
Pd 2.011 0.000 4.359
Pd 4.151 1.380 2.521
Pd 3.327 0.000 0.000
Pd 2.447 -1.380 7.129
Pd 4.587 0.000 5.290
Pd 4.151 -1.380 2.521
```

E   -5.57 eV per atom
Space-group type   C2/m, No. 12
Crystal system   monoclinic
Formation energy from the elements   -466 meV per atom


No. 5
Material: AsPPdSe2
Method: DFT, PBE
State: optimized geometry

Cell and atoms, written as extended XYZ:
```
5
Lattice="4.935 0.000 0.000 0.000 4.935 0.000 0.000 0.000 4.767" Properties=species:S:1:pos:R:3 pbc="T T T"
As 0.000 0.000 0.000
P 2.468 2.468 0.000
Pd 0.000 0.000 2.383
Se 0.000 2.468 2.383
Se 2.468 0.000 2.383
```

E   -3.61 eV per atom
Space-group type   P4/mmm, No. 123
Crystal system   tetragonal
Energy relative to the elements, uncorrected   829 meV per atom


No. 6
Material: AsPPdSe2
Method: DFT, PBE
State: optimized geometry

Cell and atoms, written as extended XYZ:
```
5
Lattice="4.813 0.000 0.000 0.000 4.813 0.000 0.000 0.000 4.671" Properties=species:S:1:pos:R:3 pbc="T T T"
As 0.000 0.000 0.000
P 0.000 0.000 2.335
Pd 2.407 2.407 0.000
Se 0.000 2.407 2.335
Se 2.407 0.000 2.335
```

E   -3.73 eV per atom
Space-group type   P4/mmm, No. 123
Crystal system   tetragonal
Energy relative to the elements, uncorrected   710 meV per atom


No. 7
Material: As2PPdSe
Method: DFT, PBE
State: optimized geometry

Cell and atoms, written as extended XYZ:
```
5
Lattice="4.675 0.000 0.000 0.000 4.675 0.000 0.000 0.000 4.822" Properties=species:S:1:pos:R:3 pbc="T T T"
As 0.000 2.337 0.000
As 2.337 0.000 0.000
P 0.000 0.000 0.000
Pd 2.337 2.337 2.411
Se 0.000 0.000 2.411
```

E   -3.95 eV per atom
Space-group type   P4/mmm, No. 123
Crystal system   tetragonal
Energy relative to the elements, uncorrected   731 meV per atom


No. 8
Material: AsPPdSe2
Method: DFT, PBE
State: optimized geometry

Cell and atoms, written as extended XYZ:
```
5
Lattice="5.087 0.000 0.000 0.000 5.087 0.000 0.000 0.000 4.401" Properties=species:S:1:pos:R:3 pbc="T T T"
As 0.000 0.000 0.000
P 2.544 2.544 0.000
Pd 2.544 2.544 2.200
Se 0.000 2.544 2.200
Se 2.544 0.000 2.200
```

E   -3.79 eV per atom
Space-group type   P4/mmm, No. 123
Crystal system   tetragonal
Energy relative to the elements, uncorrected   652 meV per atom


No. 9
Material: As2PPdSe
Method: DFT, PBE
State: optimized geometry

Cell and atoms, written as extended XYZ:
```
5
Lattice="4.799 0.000 0.000 0.000 4.799 0.000 0.000 0.000 5.000" Properties=species:S:1:pos:R:3 pbc="T T T"
As 0.000 2.400 0.000
As 2.400 0.000 0.000
P 0.000 0.000 2.500
Pd 2.400 2.400 0.000
Se 2.400 2.400 2.500
```

E   -3.81 eV per atom
Space-group type   P4/mmm, No. 123
Crystal system   tetragonal
Energy relative to the elements, uncorrected   864 meV per atom


No. 10
Material: Sm2AsPPd6
Method: DFT, PBE
State: optimized geometry

Cell and atoms, written as extended XYZ:
```
20
Lattice="5.548 0.000 0.000 0.000 8.763 0.000 0.000 0.000 8.035" Properties=species:S:1:pos:R:3 pbc="T T T"
Sm 1.387 0.066 1.910
Sm 1.387 4.315 1.910
Sm 4.161 4.448 6.125
Sm 4.161 8.697 6.125
As 1.387 6.572 6.210
As 4.161 2.191 1.825
P 1.387 2.191 5.977
P 4.161 6.572 2.059
Pd 0.005 6.572 4.013
Pd 0.015 2.191 7.848
Pd 1.387 0.011 5.015
Pd 1.387 4.371 5.015
Pd 2.759 2.191 7.848
Pd 2.769 6.572 4.013
Pd 2.779 2.191 4.022
Pd 2.789 6.572 0.187
Pd 4.161 4.392 3.020
Pd 4.161 8.752 3.020
Pd 5.533 6.572 0.187
Pd 5.543 2.191 4.022
```

E   -5.83 eV per atom
Space-group type   Pmmn, No. 59
Crystal system   orthorhombic
Formation energy from the elements   -766 meV per atom


No. 11
Material: Sm2As3PPd4
Method: DFT, PBE
State: optimized geometry

Cell and atoms, written as extended XYZ:
```
10
Lattice="4.403 0.000 0.000 0.000 4.403 0.000 0.000 0.000 9.781" Properties=species:S:1:pos:R:3 pbc="T T T"
Sm 0.000 2.201 2.381
Sm 2.201 0.000 7.400
As 0.000 0.000 0.000
As 0.000 2.201 6.202
As 2.201 0.000 3.579
P 2.201 2.201 0.000
Pd 0.000 0.000 4.891
Pd 0.000 2.201 8.666
Pd 2.201 0.000 1.116
Pd 2.201 2.201 4.891
```

E   -5.81 eV per atom
Space-group type   P-4m2, No. 115
Crystal system   tetragonal
Formation energy from the elements   -857 meV per atom


No. 12
Material: Sr2As3PPd4
Method: DFT, PBE
State: optimized geometry

Cell and atoms, written as extended XYZ:
```
10
Lattice="4.460 0.000 0.000 0.000 4.460 0.000 0.000 0.000 10.030" Properties=species:S:1:pos:R:3 pbc="T T T"
Sr 0.000 2.230 2.464
Sr 2.230 0.000 7.567
As 0.000 0.000 0.000
As 0.000 2.230 6.348
As 2.230 0.000 3.682
P 2.230 2.230 0.000
Pd 0.000 0.000 5.015
Pd 0.000 2.230 8.886
Pd 2.230 0.000 1.144
Pd 2.230 2.230 5.015
```

E   -5.12 eV per atom
Space-group type   P-4m2, No. 115
Crystal system   tetragonal
Formation energy from the elements   -772 meV per atom


No. 13
Material: SrAsPPd3
Method: DFT, PBE
State: optimized geometry

Cell and atoms, written as extended XYZ:
```
12
Lattice="3.490 -5.766 0.000 3.490 5.766 0.000 0.000 0.000 6.243" Properties=species:S:1:pos:R:3 pbc="T T T"
Sr 3.490 3.126 4.683
Sr 3.490 -3.126 1.561
As 3.490 0.069 4.683
As 3.490 -0.069 1.561
P 3.490 4.621 1.561
P 3.490 -4.621 4.683
Pd 1.373 0.000 0.000
Pd 1.373 0.000 3.122
Pd 3.490 2.348 1.561
Pd 3.490 -2.348 4.683
Pd 5.607 0.000 0.000
Pd 5.607 0.000 3.122
```

E   -5.18 eV per atom
Space-group type   Cmcm, No. 63
Crystal system   orthorhombic
Formation energy from the elements   -626 meV per atom


No. 14
Material: TaAsP2Pd
Method: DFT, PBE
State: optimized geometry

Cell and atoms, written as extended XYZ:
```
5
Lattice="4.523 0.000 0.000 0.000 4.523 0.000 0.000 0.000 4.855" Properties=species:S:1:pos:R:3 pbc="T T T"
Ta 0.000 0.000 0.000
As 2.262 2.262 0.000
P 0.000 2.262 2.428
P 2.262 0.000 2.428
Pd 2.262 2.262 2.428
```

E   -5.49 eV per atom
Space-group type   P4/mmm, No. 123
Crystal system   tetragonal
Formation energy from the elements   1010 meV per atom


No. 15
Material: Tb2AsPPd6
Method: DFT, PBE
State: optimized geometry

Cell and atoms, written as extended XYZ:
```
20
Lattice="5.535 0.000 0.000 0.000 8.717 0.000 0.000 0.000 7.988" Properties=species:S:1:pos:R:3 pbc="T T T"
Tb 1.384 0.065 1.928
Tb 1.384 4.293 1.928
Tb 4.151 4.424 6.060
Tb 4.151 8.652 6.060
As 1.384 6.538 6.181
As 4.151 2.179 1.808
P 1.384 2.179 5.943
P 4.151 6.538 2.045
Pd 0.003 6.538 3.997
Pd 0.012 2.179 7.797
Pd 1.384 0.011 4.996
Pd 1.384 4.347 4.996
Pd 2.756 2.179 7.797
Pd 2.764 6.538 3.997
Pd 2.771 2.179 3.992
Pd 2.779 6.538 0.192
Pd 4.151 4.370 2.993
Pd 4.151 8.706 2.993
Pd 5.524 6.538 0.192
Pd 5.532 2.179 3.992
```

E   -5.80 eV per atom
Space-group type   Pmmn, No. 59
Crystal system   orthorhombic
Formation energy from the elements   -755 meV per atom


No. 16
Material: Pm6As4P
Method: DFT, PBE
State: optimized geometry

Cell and atoms, written as extended XYZ:
```
22
Lattice="2.085 -6.957 0.000 2.085 6.957 0.000 0.000 0.000 20.860" Properties=species:S:1:pos:R:3 pbc="T T T"
Pm 0.000 0.000 0.000
Pm 0.000 0.000 10.430
Pm 2.085 4.259 15.645
Pm 2.085 3.126 1.743
Pm 2.085 3.126 8.687
Pm 2.085 0.682 13.889
Pm 2.085 0.682 17.401
Pm 2.085 -0.682 3.459
Pm 2.085 -0.682 6.971
Pm 2.085 -3.126 12.173
Pm 2.085 -3.126 19.117
Pm 2.085 -4.259 5.215
As 2.085 5.717 13.160
As 2.085 5.717 18.131
As 2.085 1.911 11.335
As 2.085 1.911 19.955
As 2.085 -1.911 0.905
As 2.085 -1.911 9.525
As 2.085 -5.717 2.729
As 2.085 -5.717 7.701
P 2.085 4.689 5.215
P 2.085 -4.689 15.645
```

E   -6.13 eV per atom
Space-group type   Cmcm, No. 63
Crystal system   orthorhombic
Formation energy from the elements   -1357 meV per atom


No. 17
Material: Pm4AsP2
Method: DFT, PBE
State: optimized geometry

Cell and atoms, written as extended XYZ:
```
14
Lattice="2.057 -6.744 0.000 2.057 6.744 0.000 0.000 0.000 13.574" Properties=species:S:1:pos:R:3 pbc="T T T"
Pm 0.000 0.000 0.000
Pm 0.000 0.000 6.787
Pm 2.057 3.080 8.421
Pm 2.057 3.080 11.940
Pm 2.057 0.657 3.394
Pm 2.057 -0.657 10.181
Pm 2.057 -3.080 1.634
Pm 2.057 -3.080 5.153
As 2.057 5.310 3.394
As 2.057 -5.310 10.181
P 2.057 1.849 0.851
P 2.057 1.849 5.936
P 2.057 -1.849 7.638
P 2.057 -1.849 12.723
```

E   -6.24 eV per atom
Space-group type   Cmcm, No. 63
Crystal system   orthorhombic
Formation energy from the elements   -1319 meV per atom


No. 18
Material: Pm7As5P
Method: DFT, PBE
State: optimized geometry

Cell and atoms, written as extended XYZ:
```
26
Lattice="6.959 -2.091 0.000 6.959 2.091 0.000 -0.002 0.000 24.573" Properties=species:S:1:pos:R:3 pbc="T T T"
Pm 0.798 0.000 6.144
Pm 1.908 0.000 13.173
Pm 1.909 0.000 23.687
Pm 4.391 0.000 4.385
Pm 4.393 0.000 7.900
Pm 5.741 0.000 14.903
Pm 5.743 0.000 21.957
Pm 8.174 0.000 2.616
Pm 8.175 0.000 9.670
Pm 9.524 0.000 16.673
Pm 9.525 0.000 20.188
Pm 12.007 0.000 0.886
Pm 12.009 0.000 11.400
Pm 13.118 0.000 18.430
As 0.654 0.000 15.926
As 0.651 0.000 20.935
As 3.152 0.000 1.831
As 3.148 0.000 10.454
As 6.959 0.000 0.000
As 6.958 0.000 12.287
As 10.768 0.000 14.119
As 10.765 0.000 22.742
As 13.266 0.000 3.638
As 13.263 0.000 8.647
P 4.159 0.000 18.433
P 9.758 0.000 6.140
```

E   -6.15 eV per atom
Space-group type   C2/m, No. 12
Crystal system   monoclinic
Formation energy from the elements   -1386 meV per atom


No. 19
Material: Pm4As2P
Method: DFT, PBE
State: optimized geometry

Cell and atoms, written as extended XYZ:
```
7
Lattice="-2.625 2.625 7.670 2.625 -2.625 7.670 2.625 2.625 -7.670" Properties=species:S:1:pos:R:3 pbc="T T T"
Pm 2.625 0.000 0.000
Pm 0.000 0.000 2.764
Pm 0.000 2.625 0.000
Pm 0.000 0.000 12.576
As 0.000 0.000 5.674
As 0.000 0.000 9.666
P 0.000 0.000 0.000
```

E   -5.65 eV per atom
Space-group type   I4/mmm, No. 139
Crystal system   tetragonal
Formation energy from the elements   -829 meV per atom


No. 20
Material: Pm8As5P
Method: DFT, PBE
State: optimized geometry

Cell and atoms, written as extended XYZ:
```
14
Lattice="-4.459 4.459 4.482 4.459 -4.459 4.482 4.459 4.459 -4.482" Properties=species:S:1:pos:R:3 pbc="T T T"
Pm 3.864 2.768 -1.731
Pm 6.084 0.593 0.510
Pm 0.593 2.833 -0.510
Pm 0.595 1.691 2.751
Pm 3.865 1.626 3.972
Pm 1.691 -0.595 6.213
Pm 2.768 5.053 1.731
Pm -1.626 3.865 4.992
As 0.000 0.000 0.000
As 2.220 -1.098 3.356
As 3.360 2.238 1.126
As 2.238 5.557 -1.126
As 1.098 2.220 5.608
P 0.000 4.459 2.241
```

E   -6.04 eV per atom
Space-group type   I-4, No. 82
Crystal system   tetragonal
Formation energy from the elements   -1282 meV per atom


Calculated values (Mg/m³) of density for the records, taken in order: 8.5; 8.8; 8.2; 8.4; 5.3; 5.7; 5.8; 5.4; 5.3; 8.9; 8.6; 7.1; 6.8; 7.1; 9.2; 6.6; 6.3; 6.6; 6.0; 7.3.